The following is a DFT calculation (PBE) of a relaxed structure of AgAu5.

* ΔE to the lowest computed polymorph: 8 meV per atom
* total magnetic moment: 0.00 μB per formula unit
* calculated density: 16.79 g/cm³
* ΔH_f (0 K): -14 meV/atom

a = 12.6191 Å, b = 2.9266 Å, c = 2.9266 Å
α = 90.00°, β = 90.00°, γ = 90.00°
With the nearest neighbours (Å) after each atom.
Atoms (fractional coordinates):
Au 0.1668 0.5000 0.5000  12 Au 2.93-2.96
Au 0.9992 0.0000 0.0000  8 Au 2.93-2.96, 4 Ag 2.94
Ag 0.8333 0.5000 0.5000  4 Ag 2.93, 8 Au 2.94
Au 0.3333 0.0000 0.0000  12 Au 2.93-2.95
Au 0.4999 0.5000 0.5000  12 Au 2.93-2.96
Au 0.6675 0.0000 0.0000  8 Au 2.93-2.96, 4 Ag 2.94